Ce3Co5H12: optimized geometry, PBE-GGA.

Values from the calculation:
The uncorrected energy comes out at -0.178 Ha/atom.

Unit cell a=11.326 b=11.326 c=11.326 alpha=90.00 beta=90.00 gamma=90.00
Space group Ia-3d (No. 230)
One atom of each set of equivalent atoms:
Ce (0.000, 0.250, 0.125)
Co (0.000, 0.000, 0.000)
Co (0.000, 0.250, 0.375)
H (0.042, 0.045, 0.636)